Here is a geometry-optimized Pu2ZnTc2 structure from Alexandria. Energies are from GGA-PBE.

Calculated values
crystal system	monoclinic
formation energy	0.2	eV per formula unit
D(E_F)	11.89	states/eV/f.u.

abc: 10.1771 4.9967 8.2416
angles: 90.00 110.05 90.00
Space group C2/c (No. 15)
Inequivalent atoms, fractional coordinates:
Pu 0.1511 0.1376 0.1371 (multiplicity 8)
Zn 0.0000 0.3669 0.7500 (multiplicity 4)
Tc 0.1346 0.3413 0.5342 (multiplicity 8)

---

Here is a geometry-optimized Tc2NiTe structure from Alexandria. Energies are from GGA-PBE.

Calculated values
crystal system	tetragonal
uncorrected formation energy	0.412	eV/atom
D(E_F)	5.20	states/eV/f.u.

abc: 3.9270 3.9270 3.9405
angles: 90.00 90.00 90.00
Space group P4/mmm (No. 123)
Inequivalent atoms, fractional coordinates:
Tc 0.0000 0.5000 0.0000 (multiplicity 2)
Ni 0.0000 0.0000 0.5000 (multiplicity 1)
Te 0.5000 0.5000 0.5000 (multiplicity 1)

---

Here is a geometry-optimized RbCr3Ru structure from Alexandria. Energies are from GGA-PBE.

Calculated values
crystal system	cubic
formation energy	15.8	eV per formula unit
energy above the lowest structure with this stoichiometry	1939	meV per atom
D(E_F)	8.71	states/eV/f.u.

abc: 4.3350 4.3350 4.3350
angles: 90.00 90.00 90.00
Space group Pm-3m (No. 221)
Inequivalent atoms, fractional coordinates:
Rb 0.0000 0.0000 0.0000 (multiplicity 1)
Cr 0.0000 0.0000 0.5000 (multiplicity 3)
Ru 0.5000 0.5000 0.5000 (multiplicity 1)

---

Here is a geometry-optimized Sm2Al5IrPd2 structure from Alexandria. Energies are from GGA-PBE.

Calculated values
crystal system	tetragonal
formation energy	-6.4	eV per formula unit
D(E_F)	6.93	states/eV/f.u.

abc: 10.1705 10.1705 3.6022
angles: 90.00 90.00 90.00
Space group P4/mbm (No. 127)
Inequivalent atoms, fractional coordinates:
Sm 0.1852 0.3148 0.0000 (multiplicity 4)
Al 0.0000 0.5000 0.5000 (multiplicity 2)
Al 0.0447 0.8110 0.5000 (multiplicity 8)
Ir 0.0000 0.0000 0.0000 (multiplicity 2)
Pd 0.1181 0.6181 0.0000 (multiplicity 4)

---

Here is a geometry-optimized TiMn2Fe structure from Alexandria. Energies are from GGA-PBE.

Calculated values
crystal system	tetragonal
formation energy	0.1	eV per formula unit
D(E_F)	5.83	states/eV/f.u.

abc: 3.4875 3.4875 4.0356
angles: 90.00 90.00 90.00
Space group P4/mmm (No. 123)
Inequivalent atoms, fractional coordinates:
Ti 0.0000 0.0000 0.0000 (multiplicity 1)
Mn 0.0000 0.5000 0.5000 (multiplicity 2)
Fe 0.5000 0.5000 0.0000 (multiplicity 1)

---

Here is a geometry-optimized TcRuRh2 structure from Alexandria. Energies are from GGA-PBE.

Calculated values
crystal system	cubic
formation energy	1.4	eV per formula unit
energy above the lowest structure with this stoichiometry	437	meV per atom
D(E_F)	4.52	states/eV/f.u.

abc: 6.1500 6.1500 6.1500
angles: 90.00 90.00 90.00
Space group F-43m (No. 216)
Inequivalent atoms, fractional coordinates:
Tc 0.0000 0.0000 0.0000 (multiplicity 4)
Ru 0.2500 0.2500 0.2500 (multiplicity 4)
Rh 0.0000 0.0000 0.5000 (multiplicity 4)
Rh 0.2500 0.2500 0.7500 (multiplicity 4)